Entry 1:
## NaH4Pt (PBE)

Data for crystalline NaH4Pt at its relaxed geometry.

```
NaH4Pt
1.0
-2.9736 -1.6161 -1.6345
-0.4081 -3.1644 3.8713
-2.2327 4.7716 3.6650
Pt H Na
2 8 2
Direct
0.9021 0.2500 0.8042
0.0979 0.7500 0.1958
0.1944 0.9650 0.3888
0.8056 0.4650 0.6112
0.0000 0.0000 0.0000
0.5992 0.7500 0.1985
0.1944 0.5350 0.3888
0.4008 0.2500 0.8015
0.0000 0.5000 0.0000
0.8056 0.0350 0.6112
0.3784 0.7500 0.7569
0.6216 0.2500 0.2431
```

V = 9.64 Å³/atom
excess energy over the best structure of this formula in the dataset = 4.7 meV/atom
SG = No. 63

---

Entry 2:
## Cd2WCl (PBE)

Data for crystalline Cd2WCl at its relaxed geometry.

```
Cd2WCl
1.0
9.1859 -0.0100 -0.0059
8.6460 3.1027 -0.0059
8.6460 1.4996 2.7163
Cd Cl W
2 1 1
Direct
0.9997 0.9997 0.9997
0.5003 0.5003 0.5003
0.2500 0.2500 0.2500
0.7500 0.7500 0.7500
```

V = 19.45 Å³/atom
excess energy over the best structure of this formula in the dataset = 173.4 meV/atom
SG = No. 166
raw formation energy = 120.0 kJ/mol of formula units

---

Entry 3:
## Ac4HoTe5 (PBE)

Data for crystalline Ac4HoTe5 at its relaxed geometry.

```
Ac4HoTe5
1.0
4.6020 0.0000 0.0000
2.3010 3.9854 0.0000
2.3010 1.3285 19.4104
Ac Te Ho
4 5 1
Direct
0.7014 0.7014 0.8959
0.1039 0.1039 0.6884
0.8961 0.8961 0.3116
0.2986 0.2986 0.1041
0.0000 0.0000 0.0000
0.8056 0.8056 0.5833
0.4028 0.4028 0.7916
0.1944 0.1944 0.4167
0.5972 0.5972 0.2084
0.5000 0.5000 0.5000
```

V = 35.60 Å³/atom
excess energy over the best structure of this formula in the dataset = 0.0 meV/atom
SG = No. 166
raw formation energy = -1385.1 kJ/mol of formula units

---

Entry 4:
## TaTiInMo (PBE)

Data for crystalline TaTiInMo at its relaxed geometry.

```
TaTiInMo
1.0
-2.6591 0.7412 -3.7317
1.6936 -0.7856 -4.2497
-1.5571 -3.5938 -2.4912
Mo Ta In Ti
1 1 1 1
Direct
0.7500 0.7500 0.7500
0.5000 0.5000 0.5000
0.0000 0.0000 0.0000
0.2500 0.2500 0.2500
```

energy of formation = 0.03 eV per atom
V = 17.68 Å³/atom
SG = No. 216

---

Entry 5:
## Hf3BiO (PBE)

Data for crystalline Hf3BiO at its relaxed geometry.

```
Hf3BiO
1.0
-4.1740 -0.7643 -1.5767
-1.2605 -1.5194 4.0736
-1.2169 4.1952 1.1881
Bi Hf O
1 3 1
Direct
0.5000 0.5000 0.5000
0.0000 0.5000 0.0000
0.5000 0.0000 0.0000
0.0000 0.0000 0.5000
0.0000 0.0000 0.0000
```

V = 18.55 Å³/atom
excess energy over the best structure of this formula in the dataset = 0.0 meV/atom
SG = No. 221
raw formation energy = -373.7 kJ/mol of formula units

---

Entry 6:
## TmSc2Mo (PBE)

Data for crystalline TmSc2Mo at its relaxed geometry.

```
TmSc2Mo
1.0
-0.7205 -0.4760 -3.1709
-2.5908 -1.8400 -0.8382
-6.8599 7.2886 -1.2386
Tm Sc Mo
1 2 1
Direct
0.5000 0.5000 0.5000
0.2657 0.2657 0.2029
0.7343 0.7343 0.7971
0.0000 0.0000 0.0000
```

energy of formation = 0.26 eV per atom
V = 23.16 Å³/atom
excess energy over the best structure of this formula in the dataset = 119.1 meV/atom
SG = No. 166